CoIOF2 | PBE with a Hubbard U | optimized geometry

CIF file:
```
data_CoIOF2
_space_group_name_H-M_alt 'P 1'
_space_group_IT_number 1
_space_group_name_Hall 'P 1'
_cell_length_a 3.7486
_cell_length_b 3.7486
_cell_length_c 5.5146
_cell_angle_alpha 90.00
_cell_angle_beta 90.00
_cell_angle_gamma 90.00
loop_
_atom_site_label
_atom_site_fract_x
_atom_site_fract_y
_atom_site_fract_z
I1 0.5000 0.5000 0.5000
Co1 0.0000 0.0000 0.0000
O1 0.0000 0.0000 0.5000
F1 0.0000 0.5000 0.0000
F2 0.5000 0.0000 0.0000
```

Computed properties:
* raw total energy: -3.91 eV/atom
* SG: P4/mmm
* density: 5.14 g cm⁻³